(1)
# ZnFeTeI2

A relaxed ZnFeTeI2 crystal (GGA-PBEsol, the Alexandria database).

The energy relative to the elements, uncorrected comes out at 785 meV per atom.

It has space group P4/mmm (No. 123), with a = 5.3491 Å, b = 5.3491 Å, c = 5.3324 Å, α = 90.00°, β = 90.00° and γ = 90.00°. The asymmetric unit holds Zn at (0.0000, 0.0000, 0.0000), Fe at (0.5000, 0.5000, 0.5000), Te at (0.0000, 0.0000, 0.5000) and I at (0.0000, 0.5000, 0.0000).

---

(2)
# NaBiOs2Cl

A relaxed NaBiOs2Cl crystal (GGA-PBEsol, the Alexandria database).

The energy relative to the elements, uncorrected comes out at 1999 meV per atom.

It has space group P4/mmm (No. 123), with a = 4.9966 Å, b = 4.9966 Å, c = 6.2366 Å, α = 90.00°, β = 90.00° and γ = 90.00°. The asymmetric unit holds Na at (0.0000, 0.0000, 0.0000), Bi at (0.0000, 0.0000, 0.5000), Os at (0.0000, 0.5000, 0.5000) and Cl at (0.5000, 0.5000, 0.0000).

---

(3)
# YCrCd

A relaxed YCrCd crystal (GGA-PBEsol, the Alexandria database).

It has space group P3m1 (No. 156), with a = 3.3188 Å, b = 3.3188 Å, c = 7.0298 Å, α = 90.00°, β = 90.00° and γ = 120.00°. The asymmetric unit holds Y at (0.0000, 0.0000, 0.0000), Cr at (0.6667, 0.3333, 0.3295) and Cd at (0.3333, 0.6667, 0.6306).

---

(4)
# Cu3P4S3Br3

A relaxed Cu3P4S3Br3 crystal (GGA-PBEsol, the Alexandria database).

The energy relative to the elements, uncorrected comes out at -240 meV per atom.

It has space group Pnma (No. 62), with a = 18.5540 Å, b = 9.7212 Å, c = 6.4749 Å, α = 90.00°, β = 90.00° and γ = 90.00°. The asymmetric unit holds Cu at (0.1344, 0.2500, 0.0031), Cu at (0.1843, 0.0189, 0.5117), P at (0.0230, 0.2500, 0.0967), P at (0.1142, 0.6332, 0.6526), P at (0.1527, 0.7500, 0.9306), S at (0.0070, 0.5831, 0.7152), S at (0.0620, 0.7500, 0.1211), Br at (0.1534, 0.2500, 0.6358) and Br at (0.1952, 0.0462, 0.1417).

---

no.,calculated total energy (eV per cell),M_tot (μB/f.u.)
1,-13.7,4.18
2,-22.1,3.39
3,-16.7,3.56
4,-232.2,0.00